P:
The following is a PBE calculation of an optimized crystal structure of La7Ho2Tm2, from the Alexandria database.

Cell and atoms, written as POSCAR:
```
La7Ho2Tm2
1.0
6.8498 0.9133 1.3179
0.1962 7.3516 2.0107
0.1962 -0.6989 7.5895
Tm La Ho
2 7 2
direct
0.5000 0.1796 0.8204
0.5000 0.8204 0.1796
0.8208 0.5149 0.8825
0.7630 0.4673 0.4673
0.2370 0.5327 0.5327
0.0000 0.0000 0.0000
0.1792 0.1175 0.4851
0.1792 0.4851 0.1175
0.8208 0.8825 0.5149
0.5985 0.2415 0.2415
0.4015 0.7585 0.7585
```

The calculation puts the size of the total moment at 0.00 μB per formula unit. As for the space group: C2/m (12). As for the volume: 388.73 Å³/f.u. The mass density comes out at 7006 kg/m³.

***

Q:
The following is a PBE calculation of an optimized crystal structure of La7Ho2Tm2, from the Alexandria database.

Cell and atoms, written as POSCAR:
```
La7Ho2Tm2
1.0
-4.2203 -1.8185 -8.6700
5.4544 -3.8588 -1.8459
-5.4895 -2.7199 3.2429
La Tm Ho
7 2 2
direct
0.6822 0.0000 0.5000
0.3178 0.5000 0.0000
0.3178 0.0000 0.5000
0.8245 0.5000 0.5000
0.6822 0.5000 0.0000
0.1755 0.5000 0.5000
0.0000 0.0000 0.0000
0.5000 0.7477 0.7477
0.5000 0.2523 0.2523
0.0000 0.7319 0.2681
0.0000 0.2681 0.7319
```

The calculation puts the size of the total moment at 0.00 μB per formula unit. As for the space group: Cmmm (65). As for the volume: 400.02 Å³/f.u. The mass density comes out at 6808 kg/m³.

***

Energy above the most stable structure, in eV/atom: P 0.000; Q 0.135

***

P:
The following is a PBE calculation of an optimized crystal structure of LaHoTm4, from the Alexandria database.

Cell and atoms, written as POSCAR:
```
LaHoTm4
1.0
-0.3709 1.4088 -4.2146
-4.0753 1.5764 0.8899
4.4455 9.8538 2.9027
Tm Ho La
4 1 1
direct
0.5000 0.0000 0.2576
0.0000 0.5000 0.2576
0.0000 0.5000 0.7424
0.5000 0.0000 0.7424
0.5000 0.5000 0.5000
0.0000 0.0000 0.0000
```

The calculation puts the size of the total moment at 0.00 μB per formula unit. As for the space group: P4/mmm (123). As for the volume: 222.57 Å³/f.u. The mass density comes out at 7308 kg/m³.

***

Q:
The following is a PBE calculation of an optimized crystal structure of LaHoTm4, from the Alexandria database.

Cell and atoms, written as POSCAR:
```
LaHoTm4
1.0
-1.1395 -4.1893 -4.6753
8.7353 0.4280 2.2912
-4.8445 -3.3856 6.1659
Tm Ho La
8 2 2
direct
0.7437 0.7114 0.6106
0.2563 0.2886 0.3894
0.3669 0.8992 0.6106
0.0382 0.1564 0.7300
0.1918 0.5735 0.7300
0.8082 0.4265 0.2700
0.6331 0.1008 0.3894
0.9618 0.8436 0.2700
0.7520 0.0020 0.0041
0.2480 0.9980 0.9959
0.3324 0.5824 0.1649
0.6676 0.4176 0.8351
```

The calculation puts the size of the total moment at 0.00 μB per formula unit. As for the space group: C2/c (15). As for the volume: 194.43 Å³/f.u. The mass density comes out at 8366 kg/m³.

***

R:
The following is a PBE calculation of an optimized crystal structure of LaHoTm4, from the Alexandria database.

Cell and atoms, written as POSCAR:
```
LaHoTm4
1.0
6.5691 0.0000 0.0000
3.2845 5.6890 0.0000
3.2845 1.8963 5.3636
Tm Ho La
4 1 1
direct
0.6258 0.6258 0.6258
0.6258 0.1226 0.6258
0.1226 0.6258 0.6258
0.6258 0.6258 0.1226
0.0000 0.0000 0.0000
0.2500 0.2500 0.2500
```

The calculation puts the size of the total moment at 1.71 μB per formula unit. As for the space group: F-43m (216). As for the volume: 200.44 Å³/f.u. The mass density comes out at 8115 kg/m³.

***

Energy above the most stable structure, in eV/atom: P 0.485; Q 0.000; R 0.135

***

P:
The following is a PBE calculation of an optimized crystal structure of La7Ho4Tm, from the Alexandria database.

Cell and atoms, written as POSCAR:
```
La7Ho4Tm
1.0
6.0939 0.0000 0.0000
3.0470 9.1583 1.8423
3.0470 1.8450 7.9582
La Tm Ho
7 1 4
direct
0.2083 0.1126 0.4709
0.7917 0.8874 0.5291
0.7872 0.2349 0.1907
0.2128 0.7651 0.8093
0.9139 0.4466 0.7256
0.5000 0.0000 0.0000
0.0861 0.5534 0.2744
0.0000 0.0000 0.0000
0.3297 0.3831 0.9576
0.4309 0.6975 0.4407
0.5691 0.3025 0.5593
0.6703 0.6169 0.0424
```

The calculation puts the size of the total moment at 0.00 μB per formula unit. As for the space group: C2/m (12). As for the volume: 423.43 Å³/f.u. The mass density comes out at 7063 kg/m³.

***

Q:
The following is a PBE calculation of an optimized crystal structure of La7Ho4Tm, from the Alexandria database.

Cell and atoms, written as POSCAR:
```
La7Ho4Tm
1.0
6.5634 -1.7733 2.7374
0.3099 5.6739 2.9251
2.8701 -1.4484 11.8045
Ho La Tm
4 7 1
direct
0.3355 0.5510 0.6650
0.6645 0.4490 0.3350
0.5725 0.0553 0.6691
0.4275 0.9447 0.3309
0.8340 0.5600 0.6657
0.7546 0.4978 0.0021
0.1660 0.4400 0.3343
0.0870 0.0544 0.6656
0.9130 0.9456 0.3344
0.5000 0.0000 0.0000
0.2454 0.5022 0.9979
0.0000 0.0000 0.0000
```

The calculation puts the size of the total moment at 0.00 μB per formula unit. As for the space group: P-1 (2). As for the volume: 413.20 Å³/f.u. The mass density comes out at 7238 kg/m³.

***

Energy above the most stable structure, in eV/atom: P 0.201; Q 0.000

***

P:
The following is a PBE calculation of an optimized crystal structure of LaHo7Tm2, from the Alexandria database.

Cell and atoms, written as POSCAR:
```
LaHo7Tm2
1.0
5.8241 -0.6111 1.8000
-2.1671 5.7778 -4.9812
3.0956 -0.4490 10.7597
Ho La Tm
7 1 2
direct
0.5003 0.3027 0.2024
0.9998 0.3973 0.5985
0.0002 0.6027 0.4015
0.0004 0.2001 0.7978
0.5000 0.5000 0.0000
0.4997 0.6973 0.7976
0.9996 0.7999 0.2022
0.0000 0.0000 0.0000
0.5016 0.9001 0.5982
0.4984 0.0999 0.4018
```

The calculation puts the size of the total moment at 0.00 μB per formula unit. As for the space group: P-1 (2). As for the volume: 313.77 Å³/f.u. The mass density comes out at 8633 kg/m³.

***

Q:
The following is a PBE calculation of an optimized crystal structure of LaHo7Tm2, from the Alexandria database.

Cell and atoms, written as POSCAR:
```
LaHo7Tm2
1.0
-1.9168 -0.0833 5.3115
-7.4319 -4.4211 -2.7513
7.5313 -4.3134 2.6501
Tm Ho La
2 7 1
direct
0.5000 0.7033 0.2967
0.5000 0.2967 0.7033
0.5000 0.5000 0.5000
0.0000 0.2215 0.7785
0.5000 0.0595 0.2945
0.5000 0.7055 0.9405
0.5000 0.9405 0.7055
0.5000 0.2945 0.0595
0.0000 0.7785 0.2215
0.0000 0.0000 0.0000
```

The calculation puts the size of the total moment at 0.00 μB per formula unit. As for the space group: Cmmm (65). As for the volume: 392.41 Å³/f.u. The mass density comes out at 6903 kg/m³.

***

Energy above the most stable structure, in eV/atom: P 0.000; Q 0.671

***

P:
The following is a PBE calculation of an optimized crystal structure of La5Ho3Tm, from the Alexandria database.

Cell and atoms, written as POSCAR:
```
La5Ho3Tm
1.0
-3.8308 7.5410 -2.4563
-5.7502 -8.2831 -0.6707
5.9998 6.1312 9.4656
La Ho Tm
10 6 2
direct
0.2127 0.5773 0.9675
0.7076 0.0000 0.2500
0.9298 0.4661 0.3156
0.0702 0.5339 0.6844
0.5362 0.4661 0.8156
0.3646 0.5773 0.4675
0.2924 0.0000 0.7500
0.4638 0.5339 0.1844
0.7873 0.4227 0.0325
0.6354 0.4227 0.5325
0.0000 0.0000 0.0000
0.5620 0.8570 0.8638
0.7050 0.1430 0.6362
0.2950 0.8570 0.3638
0.0000 0.0000 0.5000
0.4380 0.1430 0.1362
0.8854 0.0000 0.7500
0.1146 0.0000 0.2500
```

The calculation puts the size of the total moment at 0.00 μB per formula unit. As for the space group: C2/c (15). As for the volume: 314.62 Å³/f.u. The mass density comes out at 7169 kg/m³.

***

Q:
The following is a PBE calculation of an optimized crystal structure of La5Ho3Tm, from the Alexandria database.

Cell and atoms, written as POSCAR:
```
La5Ho3Tm
1.0
-1.9012 -0.6253 9.2688
-4.1115 -8.4272 -1.4118
9.2450 1.3046 -2.8662
La Ho Tm
10 6 2
direct
0.5000 0.5000 0.0000
0.4349 0.3355 0.2704
0.0000 0.0000 0.0000
0.1645 0.0651 0.7296
0.3355 0.8355 0.2704
0.9349 0.4349 0.2704
0.8355 0.9349 0.2704
0.5651 0.6645 0.7296
0.6645 0.1645 0.7296
0.0651 0.5651 0.7296
0.2500 0.2500 0.5000
0.8914 0.6086 0.0000
0.6086 0.1086 0.0000
0.7500 0.7500 0.5000
0.3914 0.8914 0.0000
0.1086 0.3914 0.0000
0.2500 0.7500 0.5000
0.7500 0.2500 0.5000
```

The calculation puts the size of the total moment at 0.00 μB per formula unit. As for the space group: I4/mcm (140). As for the volume: 319.26 Å³/f.u. The mass density comes out at 7065 kg/m³.

***

Energy above the most stable structure, in eV/atom: P 0.000; Q 0.159

***

P:
The following is a PBE calculation of an optimized crystal structure of LaHoTm, from the Alexandria database.

Cell and atoms, written as POSCAR:
```
LaHoTm
1.0
-0.3552 3.9234 -3.2279
-6.7315 -3.1785 -3.1226
2.7982 4.9604 5.7214
La Ho Tm
2 2 2
direct
0.6612 0.7174 0.2546
0.1612 0.8826 0.0891
0.1612 0.5515 0.4206
0.6612 0.0486 0.9231
0.6612 0.3855 0.5864
0.1612 0.2145 0.7573
```

The calculation puts the size of the total moment at 0.00 μB per formula unit. As for the space group: Cmcm (63). As for the volume: 98.43 Å³/f.u. The mass density comes out at 7976 kg/m³.

***

Q:
The following is a PBE calculation of an optimized crystal structure of LaHoTm, from the Alexandria database.

Cell and atoms, written as POSCAR:
```
LaHoTm
1.0
3.5360 -0.0002 -0.0472
0.0002 5.4531 -0.0090
-1.6349 0.0169 10.2184
Tm La Ho
2 2 2
direct
0.0406 0.2500 0.5796
0.9594 0.7500 0.4204
0.2058 0.2500 0.9111
0.7942 0.7500 0.0889
0.3889 0.2500 0.2789
0.6111 0.7500 0.7211
```

The calculation puts the size of the total moment at 0.00 μB per formula unit. As for the space group: P2_1/m (11). As for the volume: 98.31 Å³/f.u. The mass density comes out at 7986 kg/m³.

***

R:
The following is a PBE calculation of an optimized crystal structure of LaHoTm, from the Alexandria database.

Cell and atoms, written as POSCAR:
```
LaHoTm
1.0
-1.8048 -1.2024 2.7337
2.6133 -5.0116 -0.4789
2.2365 4.0644 3.2641
Ho Tm La
1 1 1
direct
0.1676 0.3333 0.6667
0.6664 0.6667 0.3333
0.1660 0.0000 0.0000
```

The calculation puts the size of the total moment at 0.00 μB per formula unit. As for the space group: P-6m2 (187). As for the volume: 97.23 Å³/f.u. The mass density comes out at 8074 kg/m³.

***

Energy above the most stable structure, in eV/atom: P 0.007; Q 0.000; R 0.048